Entry a
Below is crystalline Mg2SbP at its relaxed geometry, with properties calculated at the PBE-GGA level. Values from VASP.

symmetry = F-43m, No. 216
density of states at the Fermi level = 1.93 states/eV/cell

```
&SYSTEM
  ibrav = 0, nat = 4, ntyp = 3
/
ATOMIC_SPECIES
P 30.97 P.upf
Sb 121.76 Sb.upf
Mg 24.30 Mg.upf
ATOMIC_POSITIONS crystal
P 0.5000 0.5000 0.5000
Sb 0.7500 0.7500 0.7500
Mg 0.0000 0.0000 0.0000
Mg 0.2500 0.2500 0.2500
CELL_PARAMETERS angstrom
-3.4623 -2.3021 2.6484
1.1520 -4.0359 2.5857
0.1358 0.1830 4.9244
```

Entry b
Below is crystalline Mg2SbP at its relaxed geometry, with properties calculated at the PBE-GGA level. Values from VASP.

symmetry = I4/mmm, No. 139
density of states at the Fermi level = 1.76 states/eV/cell

```
&SYSTEM
  ibrav = 0, nat = 4, ntyp = 3
/
ATOMIC_SPECIES
P 30.97 P.upf
Sb 121.76 Sb.upf
Mg 24.30 Mg.upf
ATOMIC_POSITIONS crystal
P 0.2500 0.7500 0.5000
Sb 0.7500 0.2500 0.5000
Mg 0.0000 0.0000 0.0000
Mg 0.5000 0.5000 0.0000
CELL_PARAMETERS angstrom
5.1004 0.0000 0.0000
0.9361 5.0138 0.0000
-3.0183 -2.5069 3.2588
```

Entry c
Below is crystalline Mg2SbP at its relaxed geometry, with properties calculated at the PBE-GGA level. Values from VASP.

symmetry = Fm-3m, No. 225
density of states at the Fermi level = 2.03 states/eV/cell

```
&SYSTEM
  ibrav = 0, nat = 4, ntyp = 3
/
ATOMIC_SPECIES
Sb 121.76 Sb.upf
Mg 24.30 Mg.upf
P 30.97 P.upf
ATOMIC_POSITIONS crystal
Sb 0.5000 0.5000 0.5000
Mg 0.7500 0.7500 0.7500
Mg 0.2500 0.2500 0.2500
P 0.0000 0.0000 0.0000
CELL_PARAMETERS angstrom
4.8902 -0.4895 0.1380
2.2104 -1.4390 4.1492
2.0155 -4.4752 0.2871
```

entry b is favored, and the nearest alternative lies 3.4 kJ/mol of atoms above it.

Entry a
Below is crystalline MgSbP at its relaxed geometry, with properties calculated at the PBE-GGA level. Values from VASP.

symmetry = P3m1, No. 156
density of states at the Fermi level = 1.28 states/eV/cell

```
&SYSTEM
  ibrav = 0, nat = 3, ntyp = 3
/
ATOMIC_SPECIES
P 30.97 P.upf
Sb 121.76 Sb.upf
Mg 24.30 Mg.upf
ATOMIC_POSITIONS crystal
P 0.6667 0.3333 0.2655
Sb 0.3333 0.6667 0.7110
Mg 0.0000 0.0000 0.0235
CELL_PARAMETERS angstrom
3.1426 0.0000 0.0000
-1.5713 2.7216 0.0000
0.0000 0.0000 8.1242
```

Entry b
Below is crystalline MgSbP at its relaxed geometry, with properties calculated at the PBE-GGA level. Values from VASP.

symmetry = P3m1, No. 156
density of states at the Fermi level = 0.89 states/eV/cell

```
&SYSTEM
  ibrav = 0, nat = 3, ntyp = 3
/
ATOMIC_SPECIES
P 30.97 P.upf
Sb 121.76 Sb.upf
Mg 24.30 Mg.upf
ATOMIC_POSITIONS crystal
P 0.6667 0.3333 0.3263
Sb 0.3333 0.6667 0.6303
Mg 0.0000 0.0000 0.0434
CELL_PARAMETERS angstrom
-1.6448 3.1307 1.2632
-2.0818 -3.0177 -0.8138
0.5702 -1.7896 5.1777
```

entry b is favored, and the nearest alternative lies 25.0 kJ/mol of atoms above it.

Entry a
Below is crystalline MgSbP at its relaxed geometry, with properties calculated at the PBE-GGA level. Values from VASP.

symmetry = I4mm, No. 107
density of states at the Fermi level = 0.90 states/eV/cell

```
&SYSTEM
  ibrav = 0, nat = 3, ntyp = 3
/
ATOMIC_SPECIES
P 30.97 P.upf
Mg 24.30 Mg.upf
Sb 121.76 Sb.upf
ATOMIC_POSITIONS crystal
P 0.4282 0.4282 0.0000
Mg 0.9304 0.9304 0.0000
Sb 0.6414 0.6414 0.0000
CELL_PARAMETERS angstrom
-4.9436 2.4733 -3.1106
-5.3217 -2.5911 -2.2800
3.9512 0.5145 4.9352
```

Entry b
Below is crystalline MgSbP at its relaxed geometry, with properties calculated at the PBE-GGA level. Values from VASP.

symmetry = R-3m, No. 166
density of states at the Fermi level = 3.46 states/eV/cell

```
&SYSTEM
  ibrav = 0, nat = 6, ntyp = 3
/
ATOMIC_SPECIES
Sb 121.76 Sb.upf
Mg 24.30 Mg.upf
P 30.97 P.upf
ATOMIC_POSITIONS crystal
Sb 0.1937 0.1937 0.4190
Mg 0.3724 0.3724 0.8829
Mg 0.6276 0.6276 0.1171
P 0.7187 0.7187 0.8440
P 0.2813 0.2813 0.1560
Sb 0.8063 0.8063 0.5810
CELL_PARAMETERS angstrom
-1.7269 3.6613 1.7473
-3.4406 -0.2772 2.7433
4.4870 0.3765 9.2087
```

entry b is favored, and the nearest alternative lies 2.4 kJ/mol of atoms above it.

Entry a
Below is crystalline MgSb2TeP at its relaxed geometry, with properties calculated at the PBE-GGA level. Values from VASP.

symmetry = P4/mmm, No. 123
density of states at the Fermi level = 5.05 states/eV/cell

```
&SYSTEM
  ibrav = 0, nat = 5, ntyp = 4
/
ATOMIC_SPECIES
Mg 24.30 Mg.upf
Sb 121.76 Sb.upf
P 30.97 P.upf
Te 127.60 Te.upf
ATOMIC_POSITIONS crystal
Mg 0.5000 0.5000 0.5000
Sb 0.0000 0.5000 0.0000
Sb 0.5000 0.0000 0.0000
P 0.0000 0.0000 0.0000
Te 0.0000 0.0000 0.5000
CELL_PARAMETERS angstrom
-1.2963 -1.6730 -4.7065
4.9866 -0.7147 -1.1194
-0.3035 -5.0727 1.8867
```

Entry b
Below is crystalline MgSb2TeP at its relaxed geometry, with properties calculated at the PBE-GGA level. Values from VASP.

symmetry = P4/mmm, No. 123
density of states at the Fermi level = 5.66 states/eV/cell

```
&SYSTEM
  ibrav = 0, nat = 5, ntyp = 4
/
ATOMIC_SPECIES
P 30.97 P.upf
Sb 121.76 Sb.upf
Mg 24.30 Mg.upf
Te 127.60 Te.upf
ATOMIC_POSITIONS crystal
P 0.5000 0.5000 0.5000
Sb 0.0000 0.5000 0.0000
Sb 0.5000 0.0000 0.0000
Mg 0.0000 0.0000 0.0000
Te 0.0000 0.0000 0.5000
CELL_PARAMETERS angstrom
5.3255 0.0000 0.0000
0.0000 5.3255 0.0000
0.0000 0.0000 5.2995
```

entry a is favored, and the nearest alternative lies 44.0 kJ/mol of atoms above it.

Entry a
Below is crystalline MgSc3P at its relaxed geometry, with properties calculated at the PBE-GGA level. Values from VASP.

symmetry = Pm-3m, No. 221
density of states at the Fermi level = 6.55 states/eV/cell

```
&SYSTEM
  ibrav = 0, nat = 5, ntyp = 3
/
ATOMIC_SPECIES
Sc 44.96 Sc.upf
P 30.97 P.upf
Mg 24.30 Mg.upf
ATOMIC_POSITIONS crystal
Sc 0.5000 0.0000 0.0000
P 0.0000 0.0000 0.0000
Sc 0.0000 0.0000 0.5000
Mg 0.5000 0.5000 0.5000
Sc 0.0000 0.5000 0.0000
CELL_PARAMETERS angstrom
4.9669 0.0000 0.0000
0.0000 4.9669 0.0000
0.0000 0.0000 4.9669
```

Entry b
Below is crystalline MgSc3P at its relaxed geometry, with properties calculated at the PBE-GGA level. Values from VASP.

symmetry = Pm-3m, No. 221
density of states at the Fermi level = 2.43 states/eV/cell

```
&SYSTEM
  ibrav = 0, nat = 5, ntyp = 3
/
ATOMIC_SPECIES
Sc 44.96 Sc.upf
P 30.97 P.upf
Mg 24.30 Mg.upf
ATOMIC_POSITIONS crystal
Sc 0.5000 0.0000 0.0000
P 0.5000 0.5000 0.5000
Sc 0.0000 0.5000 0.0000
Mg 0.0000 0.0000 0.0000
Sc 0.0000 0.0000 0.5000
CELL_PARAMETERS angstrom
-0.6425 4.2547 2.6906
-4.3758 0.8690 -2.4191
-2.4888 -2.6262 3.5586
```

entry a is favored, and the nearest alternative lies 118.8 kJ/mol of atoms above it.

Entry a
Below is crystalline Mg3ScP at its relaxed geometry, with properties calculated at the PBE-GGA level. Values from VASP.

symmetry = Pm-3m, No. 221
density of states at the Fermi level = 3.65 states/eV/cell

```
&SYSTEM
  ibrav = 0, nat = 5, ntyp = 3
/
ATOMIC_SPECIES
Mg 24.30 Mg.upf
Sc 44.96 Sc.upf
P 30.97 P.upf
ATOMIC_POSITIONS crystal
Mg 0.0000 0.0000 0.5000
Sc 0.0000 0.0000 0.0000
P 0.5000 0.5000 0.5000
Mg 0.5000 0.0000 0.0000
Mg 0.0000 0.5000 0.0000
CELL_PARAMETERS angstrom
5.4965 0.0000 0.0000
0.0000 5.4965 0.0000
0.0000 0.0000 5.4965
```

Entry b
Below is crystalline Mg3ScP at its relaxed geometry, with properties calculated at the PBE-GGA level. Values from VASP.

symmetry = Pm-3m, No. 221
density of states at the Fermi level = 3.23 states/eV/cell

```
&SYSTEM
  ibrav = 0, nat = 5, ntyp = 3
/
ATOMIC_SPECIES
Sc 44.96 Sc.upf
Mg 24.30 Mg.upf
P 30.97 P.upf
ATOMIC_POSITIONS crystal
Sc 0.5000 0.5000 0.5000
Mg 0.0000 0.5000 0.0000
Mg 0.5000 0.0000 0.0000
P 0.0000 0.0000 0.0000
Mg 0.0000 0.0000 0.5000
CELL_PARAMETERS angstrom
-0.3286 1.6269 4.6548
4.2097 -2.3365 1.1138
2.5675 4.0393 -1.2305
```

entry b is favored, and the nearest alternative lies 114.2 kJ/mol of atoms above it.